Compound: Be2CoOs
Source: Alexandria
Functional: PBE
Structure: optimized geometry

Polymorph energy (0 for the lowest one) = 0.194 eV per atom
Energy relative to the elements = 41 meV per atom

Cell lengths 2.6257, 2.6257, 21.7244 Å; angles 90.00, 90.00, 120.00 degrees
Space group R-3m (No. 166, hexagonal axes)
Asymmetric unit:
Be 0.0000 0.0000 0.2456 (multiplicity 6)
Co 0.0000 0.0000 0.5000 (multiplicity 3)
Os 0.0000 0.0000 0.0000 (multiplicity 3)

Compound: BeCoOs4
Source: Alexandria
Functional: PBE
Structure: optimized geometry

Energy relative to the elements = 974 meV per atom

Cell lengths 7.1757, 7.1757, 7.1757 Å; angles 90.00, 90.00, 90.00 degrees
Space group F-43m (No. 216)
Asymmetric unit:
Be 0.0000 0.0000 0.0000 (multiplicity 4)
Co 0.2500 0.2500 0.7500 (multiplicity 4)
Os 0.1250 0.1250 0.3750 (multiplicity 16)

Compound: BeCoOs2
Source: Alexandria
Functional: PBE
Structure: optimized geometry

Energy relative to the elements = 156 meV per atom

Cell lengths 8.2831, 2.6495, 4.5906 Å; angles 90.00, 100.37, 90.00 degrees
Space group C2/m (No. 12)
Asymmetric unit:
Be 0.0000 0.0000 0.0000 (multiplicity 2)
Co 0.0000 0.5000 0.5000 (multiplicity 2)
Os 0.2474 0.0000 0.7552 (multiplicity 4)

Compound: BeCoOs2
Source: Alexandria
Functional: PBE
Structure: optimized geometry

Energy relative to the elements = 160 meV per atom

Cell lengths 2.7922, 4.2485, 8.2417 Å; angles 90.00, 90.00, 90.00 degrees
Space group Immm (No. 71)
Asymmetric unit:
Be 0.0000 0.0000 0.0000 (multiplicity 2)
Co 0.0000 0.0000 0.5000 (multiplicity 2)
Os 0.0000 0.5000 0.2843 (multiplicity 4)

Compound: BeCoOs2
Source: Alexandria
Functional: PBE
Structure: optimized geometry

Energy relative to the elements = 379 meV per atom

Cell lengths 2.7500, 4.4809, 8.1884 Å; angles 90.00, 90.00, 90.00 degrees
Space group Cmm2 (No. 35)
Asymmetric unit:
Be 0.0000 0.0000 0.0000 (multiplicity 2)
Co 0.0000 0.5000 0.2161 (multiplicity 2)
Os 0.0000 0.0000 0.4773 (multiplicity 2)
Os 0.0000 0.5000 0.7631 (multiplicity 2)

Compound: BeCoOs2
Source: Alexandria
Functional: PBE
Structure: optimized geometry

Energy relative to the elements = 13 meV per atom

Cell lengths 2.6727, 3.8579, 4.8087 Å; angles 90.00, 106.11, 90.00 degrees
Space group Pm (No. 6)
Asymmetric unit:
Be 0.0000 0.0000 0.0000 (multiplicity 1)
Co 0.1158 0.5000 0.2269 (multiplicity 1)
Os 0.3839 0.5000 0.7651 (multiplicity 1)
Os 0.7429 0.0000 0.4811 (multiplicity 1)